No. 1
! Rb3TcH8 | Alexandria via LeMat-Bulk | PBE | optimized geometry; values from VASP
&SYSTEM
  ibrav = 0, nat = 12, ntyp = 3
/
ATOMIC_SPECIES
Rb 85.47 Rb.upf
Tc 98.00 Tc.upf
H 1.01 H.upf
CELL_PARAMETERS angstrom
6.5234 0.0000 0.0000
-3.2617 4.1348 3.2617
0.0000 0.0000 6.5234
ATOMIC_POSITIONS angstrom
Rb 3.2617 2.0674 6.5234
Rb 0.0000 2.0674 3.2617
Rb 3.2617 0.0000 3.2617
Tc 0.0000 0.0000 0.0000
H 0.6824 1.3920 7.2057
H -0.6824 1.3920 5.8410
H 2.5793 2.7427 3.9441
H 3.9441 2.7427 2.5793
H 2.0649 3.7190 8.5883
H -2.0649 3.7190 4.4585
H 1.1968 0.4158 5.3266
H 5.3266 0.4158 1.1968
! total DFT energy (no corrections)	-42.85	eV/f.u.
! SG	I-42m, No. 121

No. 2
! RbTc3H | Alexandria via LeMat-Bulk | PBE | optimized geometry; values from VASP
&SYSTEM
  ibrav = 0, nat = 5, ntyp = 3
/
ATOMIC_SPECIES
H 1.01 H.upf
Tc 98.00 Tc.upf
Rb 85.47 Rb.upf
CELL_PARAMETERS angstrom
-0.0156 3.2001 -2.8523
-3.8446 -1.2720 -1.4062
-1.8961 2.5530 2.8746
ATOMIC_POSITIONS angstrom
H 0.0000 0.0000 0.0000
Tc -1.9223 -0.6360 -0.7031
Tc -0.9480 1.2765 1.4373
Tc -0.0078 1.6001 -1.4261
Rb -2.8781 2.2405 -0.6919
! total DFT energy (no corrections)	-27.26	eV/f.u.
! SG	Pm-3m, No. 221

No. 3
! RbTc3H | Alexandria via LeMat-Bulk | PBE | optimized geometry; values from VASP
&SYSTEM
  ibrav = 0, nat = 5, ntyp = 3
/
ATOMIC_SPECIES
H 1.01 H.upf
Tc 98.00 Tc.upf
Rb 85.47 Rb.upf
CELL_PARAMETERS angstrom
-3.7800 2.4836 -1.3824
-2.4960 -4.0008 -0.3627
-1.3599 0.4397 4.5083
ATOMIC_POSITIONS angstrom
H -3.8179 -0.5388 1.3816
Tc -1.2480 -2.0004 -0.1813
Tc -0.6799 0.2198 2.2542
Tc -1.8900 1.2418 -0.6912
Rb 0.0000 0.0000 0.0000
! total DFT energy (no corrections)	-15.67	eV/f.u.
! SG	Pm-3m, No. 221

Which formula does entry 2 have?
RbTc3H